This record from Alexandria describes a geometry-optimized Nd6Si4Ni7 structure. The functional is GGA-PBE.

Calculated values
Fermi-level density of states in states/eV/cell: 43.116
Energy relative to the elements, uncorrected in eV per atom: -0.6191
Calculated total energy in eV/atom: -5.958
Total moment in μB per formula unit: 0.0

Cell lengths 5.9068, 7.4182, 29.6258 Å; angles 90.00, 90.00, 90.00 degrees
Space group Pbcm (No. 57)
Asymmetric unit:
Nd (0.1042, 0.1111, 0.1819) [8 per cell]
Nd (0.1229, 0.7500, 0.0000) [4 per cell]
Nd (0.3762, 0.0209, 0.7500) [4 per cell]
Nd (0.3852, 0.1157, 0.0795) [8 per cell]
Si (0.1099, 0.0361, 0.5826) [8 per cell]
Si (0.3875, 0.7310, 0.6727) [8 per cell]
Ni (0.1446, 0.7435, 0.6098) [8 per cell]
Ni (0.1868, 0.6768, 0.7500) [4 per cell]
Ni (0.3406, 0.0300, 0.6480) [8 per cell]
Ni (0.3508, 0.0944, 0.5183) [8 per cell]

=====

This record from Alexandria describes a geometry-optimized Nd3Si4Ni2 structure. The functional is GGA-PBE.

Calculated values
Fermi-level density of states in states/eV/cell: 10.556
Energy relative to the elements, uncorrected in eV per atom: -0.7373
Calculated total energy in eV/atom: -6.022
Relative energy among the computed polymorphs in meV per atom: 50
Total moment in μB per formula unit: 0.0

Cell lengths 11.0216, 4.0765, 8.2817 Å; angles 90.00, 109.79, 90.00 degrees
Space group C2/m (No. 12)
Asymmetric unit:
Nd (0.0000, 0.0000, 0.0000) [2 per cell]
Nd (0.1086, 0.5000, 0.6826) [4 per cell]
Si (0.1354, 0.0000, 0.4115) [4 per cell]
Si (0.2245, 0.5000, 0.0697) [4 per cell]
Ni (0.1797, 0.5000, 0.3221) [4 per cell]

=====

This record from Alexandria describes a geometry-optimized NdSi2Ni8 structure. The functional is GGA-PBE.

Calculated values
Fermi-level density of states in states/eV/cell: 9.151
Energy relative to the elements, uncorrected in eV per atom: 0.0497
Calculated total energy in eV/atom: -5.574
Total moment in μB per formula unit: 0.0

Cell lengths 4.8588, 4.8588, 7.5950 Å; angles 90.00, 90.00, 90.00 degrees
Space group P4/mmm (No. 123)
Asymmetric unit:
Nd (0.0000, 0.0000, 0.0000) [1 per cell]
Si (0.0000, 0.5000, 0.5000) [2 per cell]
Ni (0.2541, 0.2541, 0.3028) [8 per cell]

=====

This record from Alexandria describes a geometry-optimized NdSiNi2 structure. The functional is GGA-PBE.

Calculated values
Fermi-level density of states in states/eV/cell: 2.152
Energy relative to the elements, uncorrected in eV per atom: -0.3829
Calculated total energy in eV/atom: -5.821
Total moment in μB per formula unit: 0.0

Cell lengths 3.7708, 4.1138, 4.8967 Å; angles 90.00, 90.00, 90.00 degrees
Space group Pmmm (No. 47)
Asymmetric unit:
Nd (0.0000, 0.0000, 0.0000) [1 per cell]
Si (0.0000, 0.5000, 0.5000) [1 per cell]
Ni (0.5000, 0.5000, 0.2477) [2 per cell]

=====

This record from Alexandria describes a geometry-optimized Nd3Si2Ni3 structure. The functional is GGA-PBE.

Calculated values
Fermi-level density of states in states/eV/cell: 25.007
Energy relative to the elements, uncorrected in eV per atom: -0.5942
Calculated total energy in eV/atom: -5.906
Relative energy among the computed polymorphs in meV per atom: 33
Total moment in μB per formula unit: 0.0

Cell lengths 4.0873, 10.7252, 14.5899 Å; angles 90.00, 90.00, 90.00 degrees
Space group Cmcm (No. 63)
Asymmetric unit:
Nd (0.0000, 0.0762, 0.1066) [8 per cell]
Nd (0.0000, 0.3685, 0.2500) [4 per cell]
Si (0.0000, 0.2091, 0.6037) [8 per cell]
Ni (0.0000, 0.3258, 0.7500) [4 per cell]
Ni (0.0000, 0.3276, 0.0317) [8 per cell]

=====

This record from Alexandria describes a geometry-optimized NdSi2Ni4 structure. The functional is GGA-PBE.

Calculated values
Fermi-level density of states in states/eV/cell: 16.213
Energy relative to the elements, uncorrected in eV per atom: -0.5001
Calculated total energy in eV/atom: -6.034
Relative energy among the computed polymorphs in meV per atom: 88
Total moment in μB per formula unit: 0.0

Cell lengths 16.4295, 3.9662, 6.2136 Å; angles 90.00, 90.00, 90.00 degrees
Space group Pnma (No. 62)
Asymmetric unit:
Nd (0.1395, 0.2500, 0.0050) [4 per cell]
Si (0.0400, 0.7500, 0.7353) [4 per cell]
Si (0.2121, 0.2500, 0.4712) [4 per cell]
Ni (0.0198, 0.7500, 0.1380) [4 per cell]
Ni (0.0674, 0.2500, 0.5158) [4 per cell]
Ni (0.1835, 0.7500, 0.6691) [4 per cell]
Ni (0.2124, 0.7500, 0.2796) [4 per cell]

=====

This record from Alexandria describes a geometry-optimized Nd2Si7Ni12 structure. The functional is GGA-PBE.

Calculated values
Fermi-level density of states in states/eV/cell: 11.855
Energy relative to the elements, uncorrected in eV per atom: -0.6436
Calculated total energy in eV/atom: -6.209
Total moment in μB per formula unit: 0.0

Cell lengths 9.2417, 9.2417, 3.7603 Å; angles 90.00, 90.00, 120.00 degrees
Space group P-6 (No. 174)
Asymmetric unit:
Nd (0.0000, 0.0000, 0.0000) [1 per cell]
Nd (0.3333, 0.6667, 0.5000) [1 per cell]
Si (0.0534, 0.6065, 0.0000) [3 per cell]
Si (0.2693, 0.0306, 0.5000) [3 per cell]
Si (0.6667, 0.3333, 0.0000) [1 per cell]
Ni (0.0351, 0.7538, 0.5000) [3 per cell]
Ni (0.1146, 0.3873, 0.0000) [3 per cell]
Ni (0.3896, 0.1988, 0.0000) [3 per cell]
Ni (0.5590, 0.1322, 0.5000) [3 per cell]

=====

This record from Alexandria describes a geometry-optimized Nd3Si2Ni9 structure. The functional is GGA-PBE.

Calculated values
Fermi-level density of states in states/eV/cell: 17.043
Energy relative to the elements, uncorrected in eV per atom: -0.4103
Calculated total energy in eV/atom: -5.923
Total moment in μB per formula unit: 0.0

Cell lengths 3.9132, 9.5136, 11.9528 Å; angles 90.00, 90.00, 90.00 degrees
Space group Immm (No. 71)
Asymmetric unit:
Nd (0.0000, 0.0000, 0.0000) [2 per cell]
Nd (0.0000, 0.0000, 0.3083) [4 per cell]
Si (0.0000, 0.2330, 0.5000) [4 per cell]
Ni (0.0000, 0.2811, 0.1045) [8 per cell]
Ni (0.0000, 0.3108, 0.3082) [8 per cell]
Ni (0.0000, 0.5000, 0.0000) [2 per cell]

=====

Copy entry 7 word for word.
This record from Alexandria describes a geometry-optimized Nd2Si7Ni12 structure. The functional is GGA-PBE.

Calculated values
Fermi-level density of states in states/eV/cell: 11.855
Energy relative to the elements, uncorrected in eV per atom: -0.6436
Calculated total energy in eV/atom: -6.209
Total moment in μB per formula unit: 0.0

Cell lengths 9.2417, 9.2417, 3.7603 Å; angles 90.00, 90.00, 120.00 degrees
Space group P-6 (No. 174)
Asymmetric unit:
Nd (0.0000, 0.0000, 0.0000) [1 per cell]
Nd (0.3333, 0.6667, 0.5000) [1 per cell]
Si (0.0534, 0.6065, 0.0000) [3 per cell]
Si (0.2693, 0.0306, 0.5000) [3 per cell]
Si (0.6667, 0.3333, 0.0000) [1 per cell]
Ni (0.0351, 0.7538, 0.5000) [3 per cell]
Ni (0.1146, 0.3873, 0.0000) [3 per cell]
Ni (0.3896, 0.1988, 0.0000) [3 per cell]
Ni (0.5590, 0.1322, 0.5000) [3 per cell]

=====

Q: Fermi-level density of states of number 5 (Nd3Si2Ni3)?
A: 25.007 states/eV/cell

=====

Q: Fermi-level density of states of number 8 (Nd3Si2Ni9)?
A: 17.043 states/eV/cell